(1)
The following is a GGA-PBE calculation of crystalline ScTlZnFe at its relaxed geometry, from OQMD via LeMat-Bulk.

Cell and atoms, written as POSCAR:
```
ScTlZnFe
1.0
6.589 0.000 0.000
0.000 6.589 0.000
0.000 0.000 6.589
Sc Tl Zn Fe
4 4 4 4
Direct
0.000 0.000 0.000
0.000 0.500 0.500
0.500 0.000 0.500
0.500 0.500 0.000
0.250 0.250 0.250
0.250 0.750 0.750
0.750 0.250 0.750
0.750 0.750 0.250
0.250 0.250 0.750
0.250 0.750 0.250
0.750 0.250 0.250
0.750 0.750 0.750
0.000 0.000 0.500
0.000 0.500 0.000
0.500 0.000 0.000
0.500 0.500 0.500
```

Results
- Magnetic moment: 2.298 μB per formula unit
- Relative energy among the computed polymorphs: 0.0 meV/atom
- Total energy: -4.499 eV per atom
- ρ: 8.61 g/cm³
- SG: F-43m

***

(2)
The following is a GGA-PBE calculation of crystalline NdAgNO at its relaxed geometry, from OQMD via LeMat-Bulk.

Cell and atoms, written as POSCAR:
```
NdAgNO
1.0
4.005 0.000 0.000
0.000 6.221 0.000
0.000 0.000 5.276
Nd Ag N O
2 2 2 2
Direct
0.000 0.216 0.000
0.000 0.784 0.500
0.500 0.261 0.496
0.500 0.739 0.996
0.000 0.164 0.480
0.000 0.836 0.980
0.500 0.370 0.930
0.500 0.630 0.430
```

Results
- Magnetic moment: 0.000 μB per formula unit
- Relative energy among the computed polymorphs: 64.4 meV/atom
- Total energy: -6.086 eV per atom
- ρ: 7.13 g/cm³
- SG: Pmc2_1

***

(3)
The following is a GGA-PBE calculation of crystalline Re6NiIr at its relaxed geometry, from OQMD via LeMat-Bulk.

Cell and atoms, written as POSCAR:
```
Re6NiIr
1.0
5.491 0.000 0.000
-2.745 4.755 0.000
0.000 0.000 4.365
Re Ni Ir
6 1 1
Direct
0.000 0.500 0.000
0.345 0.173 0.500
0.500 0.000 0.000
0.500 0.500 0.000
0.827 0.173 0.500
0.827 0.655 0.500
0.333 0.667 0.500
0.000 0.000 0.000
```

Results
- Magnetic moment: 0.001 μB per formula unit
- Total energy: -11.278 eV per atom
- ρ: 19.94 g/cm³
- SG: P-6m2

***

(4)
The following is a GGA-PBE calculation of crystalline RbTbNb at its relaxed geometry, from OQMD via LeMat-Bulk.

Cell and atoms, written as POSCAR:
```
RbTbNb
1.0
7.899 0.000 0.000
0.000 7.899 0.000
0.000 0.000 7.899
Rb Tb Nb
4 4 4
Direct
0.000 0.000 0.000
0.000 0.500 0.500
0.500 0.000 0.500
0.500 0.500 0.000
0.000 0.000 0.500
0.000 0.500 0.000
0.500 0.000 0.000
0.500 0.500 0.500
0.250 0.250 0.250
0.250 0.750 0.750
0.750 0.250 0.750
0.750 0.750 0.250
```

Results
- Magnetic moment: 4.919 μB per formula unit
- Total energy: -3.553 eV per atom
- ρ: 4.55 g/cm³
- SG: F-43m